1.
Below is a relaxed structure of CrAs2Cl, with properties calculated at the PBE level.

Properties
Symmetry: P4mm
Formation energy without anion corrections in meV per atom: 217
DFT total energy in eV/atom: -4.97

Cell lengths 2.8733, 2.8733, 9.0926 Å; angles 90.00, 90.00, 90.00 degrees
Closest atoms and distances in Å follow each position.
Element x y z (fractional)
As1 0.5000 0.5000 0.2110  4 As 2.87
Cr1 0.5000 0.5000 0.7559  4 Cl 2.48, 4 As 2.59
As2 0.0000 0.0000 0.9331  4 Cr 2.59, 4 As 2.87
Cl1 0.0000 0.0000 0.6000  4 Cr 2.48

***

2.
Below is a relaxed structure of Nb3TlBr, with properties calculated at the PBE level.

Properties
Symmetry: Pm-3m
Formation energy without anion corrections in meV per atom: 1044
DFT total energy in eV/atom: -5.81

Cell lengths 4.7857, 4.7857, 4.7857 Å; angles 90.00, 90.00, 90.00 degrees
Closest atoms and distances in Å follow each position.
Element x y z (fractional)
Tl1 0.5000 0.5000 0.5000  12 Nb 3.38
Nb1 0.0000 0.5000 0.0000  2 Br 2.39
Nb2 0.0000 0.0000 0.5000  2 Br 2.39
Nb3 0.5000 0.0000 0.0000  2 Br 2.39
Br1 0.0000 0.0000 0.0000  6 Nb 2.39